## Na2Ga (PBE)

Data for a relaxed structure of Na2Ga.

Calculated values
* ρ: 2.40 g/cm3
* energy of formation from the pure elements: 0.042 eV/atom

a b c (Å): 3.659 3.659 11.946
angles (deg): 90.00 90.00 90.00
Space group I4/mmm (No. 139)
Inequivalent atoms, fractional coordinates:
Na 0.000 0.000 0.149 x4
Ga 0.000 0.000 0.500 x2

## TaNbSbTe2 (PBE)

Data for a relaxed structure of TaNbSbTe2.

Calculated values
* ρ: 7.02 g/cm3
* ΔE_f (raw): 4.7 eV per formula unit
* ΔE to the lowest computed polymorph: 0.0 meV/atom

a b c (Å): 5.353 5.353 5.370
angles (deg): 90.00 90.00 90.00
Space group P4/mmm (No. 123)
Inequivalent atoms, fractional coordinates:
Ta 0.000 0.000 0.000 x1
Nb 0.500 0.500 0.500 x1
Sb 0.000 0.000 0.500 x1
Te 0.000 0.500 0.000 x2

## KLiSi2 (PBE)

Data for a relaxed structure of KLiSi2.

Calculated values
* ρ: 1.96 g/cm3
* ΔE_f (raw): 2.3 eV per formula unit
* ΔE to the lowest computed polymorph: 574.3 meV/atom

a b c (Å): 7.018 7.018 7.018
angles (deg): 90.00 90.00 90.00
Space group Fm-3m (No. 225)
Inequivalent atoms, fractional coordinates:
K 0.000 0.000 0.000 x4
Li 0.000 0.000 0.500 x4
Si 0.250 0.250 0.250 x8

## SrSnAu4 (PBE)

Data for a relaxed structure of SrSnAu4.

Calculated values
* ρ: 11.59 g/cm3
* ΔE to the lowest computed polymorph: 0.0 meV/atom
* energy of formation from the pure elements: -0.423 eV/atom

a b c (Å): 10.798 7.983 6.905
angles (deg): 90.00 106.79 90.00
Space group C2/m (No. 12)
Inequivalent atoms, fractional coordinates:
Sr 0.159 0.000 0.261 x4
Sn 0.096 0.500 0.281 x4
Au 0.000 0.245 0.500 x4
Au 0.122 0.310 0.928 x8
Au 0.154 0.000 0.759 x4

## Ac2Pr5Er6 (PBE)

Data for a relaxed structure of Ac2Pr5Er6.

Calculated values
* ρ: 7.85 g/cm3
* energy of formation from the pure elements: 0.108 eV/atom

a b c (Å): 11.999 20.759 3.674
angles (deg): 90.00 90.00 90.00
Space group Pbam (No. 55)
Inequivalent atoms, fractional coordinates:
Ac 0.168 0.225 0.000 x4
Pr 0.000 0.500 0.500 x2
Pr 0.091 0.787 0.500 x4
Pr 0.201 0.055 0.500 x4
Er 0.063 0.928 0.000 x4
Er 0.068 0.640 0.000 x4
Er 0.186 0.381 0.500 x4

## PrNd3Tm6 (PBE)

Data for a relaxed structure of PrNd3Tm6.

Calculated values
* ρ: 8.15 g/cm3
* ΔE to the lowest computed polymorph: 0.0 meV/atom
* energy of formation from the pure elements: 0.067 eV/atom

a b c (Å): 13.018 3.531 14.305
angles (deg): 90.00 100.35 90.00
Space group P2_1/m (No. 11)
Inequivalent atoms, fractional coordinates:
Pr 0.040 0.250 0.220 x2
Nd 0.077 0.250 0.599 x2
Nd 0.372 0.750 0.996 x2
Nd 0.421 0.250 0.402 x2
Tm 0.121 0.250 0.988 x2
Tm 0.195 0.750 0.426 x2
Tm 0.223 0.750 0.786 x2
Tm 0.273 0.750 0.200 x2
Tm 0.346 0.250 0.622 x2
Tm 0.499 0.750 0.809 x2

Please write out number 4 again, unchanged.
## SrSnAu4 (PBE)

Data for a relaxed structure of SrSnAu4.

Calculated values
* ρ: 11.59 g/cm3
* ΔE to the lowest computed polymorph: 0.0 meV/atom
* energy of formation from the pure elements: -0.423 eV/atom

a b c (Å): 10.798 7.983 6.905
angles (deg): 90.00 106.79 90.00
Space group C2/m (No. 12)
Inequivalent atoms, fractional coordinates:
Sr 0.159 0.000 0.261 x4
Sn 0.096 0.500 0.281 x4
Au 0.000 0.245 0.500 x4
Au 0.122 0.310 0.928 x8
Au 0.154 0.000 0.759 x4

Repeat the fifth record exactly.
## Ac2Pr5Er6 (PBE)

Data for a relaxed structure of Ac2Pr5Er6.

Calculated values
* ρ: 7.85 g/cm3
* energy of formation from the pure elements: 0.108 eV/atom

a b c (Å): 11.999 20.759 3.674
angles (deg): 90.00 90.00 90.00
Space group Pbam (No. 55)
Inequivalent atoms, fractional coordinates:
Ac 0.168 0.225 0.000 x4
Pr 0.000 0.500 0.500 x2
Pr 0.091 0.787 0.500 x4
Pr 0.201 0.055 0.500 x4
Er 0.063 0.928 0.000 x4
Er 0.068 0.640 0.000 x4
Er 0.186 0.381 0.500 x4

Q: The lowest ρ belongs to which entry?
A: KLiSi2